Pa2Si3Ir GGA-PBE relaxed; calculated density = 10.7 g/cm³; E_tot = -8.13 eV per atom; formation energy (no corrections) = -0.778 eV per atom
1.0
-2.219 1.833 4.921
3.741 -3.296 2.763
3.848 6.047 -3.743
Pa Si Ir
4 6 2
Direct
0.250 0.750 0.500
0.749 0.749 0.000
0.750 0.250 0.500
0.251 0.251 0.000
0.328 0.837 0.165
0.163 0.672 0.835
0.672 0.163 0.835
0.837 0.328 0.165
0.165 0.165 0.330
0.835 0.835 0.670
0.666 0.666 0.332
0.334 0.334 0.668